FeReRh2 | SCAN | PBEsol geometry

Properties
**E_tot**: -155.836 eV/cell
**Space group**: Fm-3m (225)
**ΔE_f**: 234 meV per atom
**Polymorph energy (0 for the lowest one)**: 1.53 eV/f.u.

Cell lengths 4.2476, 4.2476, 4.2476 Å; angles 60.00, 60.00, 60.00 degrees
Site moments in Bohr magnetons follow the coordinates.
Sites, in units of the cell vectors:
Rh 0.2500 0.2500 0.2500  -0.29
Rh 0.7500 0.7500 0.7500  -0.29
Fe 0.0000 0.0000 0.0000  3.15
Re 0.5000 0.5000 0.5000  -1.04

CrCuSi2 | SCAN | PBEsol geometry

Properties
**E_tot**: -52.515 eV/cell
**Space group**: R3m (160)

Cell lengths 2.7220, 2.7220, 7.9084 Å; angles 80.09, 80.09, 60.00 degrees
Site moments in Bohr magnetons follow the coordinates.
Sites, in units of the cell vectors:
Cr 0.4970 0.4970 0.5089  2.05
Si 0.7525 0.7525 0.7426  -0.04
Si 0.9984 0.9984 0.0047  0.00
Cu 0.2521 0.2521 0.2437  0.05

Li2ZnGe | SCAN | PBEsol geometry

Properties
**E_tot**: -38.815 eV/cell
**Space group**: F-43m (216)
**ΔE_f**: -358 meV per atom

Cell lengths 4.2923, 4.2923, 4.2923 Å; angles 60.00, 60.00, 60.00 degrees
Sites, in units of the cell vectors:
Li 0.2500 0.2500 0.2500
Li 0.0000 0.0000 0.0000
Ge 0.5000 0.5000 0.5000
Zn 0.7500 0.7500 0.7500

CaCuNiAu2 | SCAN | PBEsol geometry

Properties
**E_tot**: -179.658 eV/cell
**Space group**: P4/mmm (123)
**ΔE_f**: -62 meV per atom

Cell lengths 4.4044, 4.7528, 4.7528 Å; angles 90.00, 90.00, 90.00 degrees
Sites, in units of the cell vectors:
Ca 0.5000 0.5000 0.5000
Ni 0.0000 0.0000 0.0000
Au 0.0000 0.0000 0.5000
Au 0.0000 0.5000 0.0000
Cu 0.5000 0.0000 0.0000

LiMn2Pb | SCAN | PBEsol geometry

Properties
**E_tot**: -114.585 eV/cell
**Space group**: I-4m2 (119)
**ΔE_f**: 24 meV per atom

Cell lengths 4.0063, 4.0063, 4.8872 Å; angles 114.20, 114.20, 90.00 degrees
Site moments in Bohr magnetons follow the coordinates.
Sites, in units of the cell vectors:
Mn 0.0000 0.0000 0.0000  3.89
Mn 0.7500 0.2500 0.5000  3.75
Li 0.2500 0.7500 0.5000  -0.02
Pb 0.5000 0.5000 0.0000  -0.06

LaP2RhO | SCAN | PBEsol geometry

Properties
**E_tot**: -100.929 eV/cell
**Space group**: P4/mmm (123)
**Polymorph energy (0 for the lowest one)**: 6.60 eV/f.u.

Cell lengths 4.0023, 5.3132, 5.3132 Å; angles 90.00, 90.00, 90.00 degrees
Site moments in Bohr magnetons follow the coordinates.
Sites, in units of the cell vectors:
O 0.5000 0.0000 0.0000  0.05
Rh 0.5000 0.5000 0.5000  1.52
P 0.0000 0.0000 0.5000  -0.01
P 0.0000 0.5000 0.0000  -0.01
La 0.0000 0.0000 0.0000  0.05

KFe2TcAs | SCAN | PBEsol geometry

Properties
**E_tot**: -91.481 eV/cell
**Space group**: P4/mmm (123)
**ΔE_f**: 1671 meV per atom

Cell lengths 4.4229, 4.4229, 5.2187 Å; angles 90.00, 90.00, 90.00 degrees
Site moments in Bohr magnetons follow the coordinates.
Sites, in units of the cell vectors:
K 0.0000 0.0000 0.5000  -0.04
As 0.5000 0.5000 0.5000  -0.28
Fe 0.0000 0.5000 0.0000  2.78
Fe 0.5000 0.0000 0.0000  2.78
Tc 0.0000 0.0000 0.0000  -0.60

MnSiP2 | SCAN | PBEsol geometry

Properties
**E_tot**: -48.070 eV/cell
**Space group**: C2/m (12)

Cell lengths 2.9422, 3.9990, 4.6167 Å; angles 98.53, 90.00, 111.58 degrees
Site moments in Bohr magnetons follow the coordinates.
Sites, in units of the cell vectors:
P 0.2301 0.4603 0.2068  0.04
P 0.7699 0.5397 0.7932  0.04
Si 0.0000 0.0000 0.5000  0.03
Mn 0.5000 0.0000 0.0000  -1.75